# 1
{"formula": "Tb3Y2ErS6", "functional": "PBE-GGA", "state": "relaxed", "total_energy_ev_per_atom": -6.68, "n_ef_per_ev_atom": 0.41, "space_group": "C2/m, No. 12", "cell": [[6.7818, -0.0131, -0.0009], [-3.4006, 5.8676, -0.0009], [-1.1287, -1.9544, 6.3930]], "species": ["Tb", "Tb", "Tb", "Er", "Y", "Y", "S", "S", "S", "S", "S", "S"], "frac_coords": [[0.8316, 0.1684, 0.5000], [0.1684, 0.8316, 0.5000], [0.5000, 0.5000, 0.5000], [0.0000, 0.0000, 0.0000], [0.6669, 0.3331, 0.0000], [0.3331, 0.6669, 0.0000], [0.4124, 0.0823, 0.2468], [0.0823, 0.4124, 0.2468], [0.7526, 0.7526, 0.2482], [0.2474, 0.2474, 0.7518], [0.9177, 0.5876, 0.7532], [0.5876, 0.9177, 0.7532]]}

# 2
{"formula": "Tb4YErS8", "functional": "PBE-GGA", "state": "relaxed", "total_energy_ev_per_atom": -6.40, "n_ef_per_ev_atom": 0.61, "space_group": "R3m, No. 160", "cell": [[-0.5828, -6.4667, -4.7937], [3.0770, -7.0734, 2.3740], [-4.9085, -6.0709, 1.9923]], "species": ["S", "S", "S", "S", "S", "S", "S", "S", "Er", "Tb", "Tb", "Tb", "Tb", "Y"], "frac_coords": [[0.7571, 0.7571, 0.7287], [0.2400, 0.2400, 0.7464], [0.2255, 0.7603, 0.2538], [0.7603, 0.7603, 0.2538], [0.7603, 0.2255, 0.2538], [0.2431, 0.2431, 0.2706], [0.7735, 0.2400, 0.7464], [0.2400, 0.7735, 0.7464], [0.0002, 0.0002, 0.9993], [0.0002, 0.4995, 0.5001], [0.0002, 0.0002, 0.5001], [0.6245, 0.6245, 0.1265], [0.4995, 0.0002, 0.5001], [0.3754, 0.3754, 0.8737]]}

# 3
{"formula": "TbY3Er2S6", "functional": "PBE-GGA", "state": "relaxed", "total_energy_ev_per_atom": -6.81, "n_ef_per_ev_atom": 0.41, "space_group": "C2/m, No. 12", "cell": [[6.7619, -0.0132, -0.0008], [-3.3907, 5.8503, -0.0008], [-1.1253, -1.9485, 6.3743]], "species": ["S", "S", "S", "S", "S", "S", "Tb", "Er", "Er", "Y", "Y", "Y"], "frac_coords": [[0.0824, 0.4195, 0.2473], [0.9176, 0.5805, 0.7527], [0.2551, 0.2551, 0.7539], [0.4195, 0.0824, 0.2473], [0.7449, 0.7449, 0.2461], [0.5805, 0.9176, 0.7527], [0.0000, 0.0000, 0.0000], [0.6664, 0.3336, 0.0000], [0.3336, 0.6664, 0.0000], [0.1648, 0.8352, 0.5000], [0.8352, 0.1648, 0.5000], [0.5000, 0.5000, 0.5000]]}

# 4
{"formula": "Tb3YEr2S6", "functional": "PBE-GGA", "state": "relaxed", "total_energy_ev_per_atom": -6.51, "n_ef_per_ev_atom": 0.41, "space_group": "C2/m, No. 12", "cell": [[6.7644, -0.0135, -0.0011], [-3.3923, 5.8523, -0.0011], [-1.1259, -1.9494, 6.3822]], "species": ["Er", "Er", "S", "S", "S", "S", "S", "S", "Tb", "Tb", "Tb", "Y"], "frac_coords": [[0.6664, 0.3336, 0.0000], [0.3336, 0.6664, 0.0000], [0.7452, 0.7452, 0.2449], [0.9181, 0.5816, 0.7540], [0.0819, 0.4184, 0.2460], [0.4184, 0.0819, 0.2460], [0.2548, 0.2548, 0.7551], [0.5816, 0.9181, 0.7540], [0.8349, 0.1651, 0.5000], [0.5000, 0.5000, 0.5000], [0.1651, 0.8349, 0.5000], [0.0000, 0.0000, 0.0000]]}